[1]
{"formula": "YCuRu2", "functional": "PBE-GGA", "state": "relaxed", "lattice": [[2.9952, 0.0000, 0.0000], [0.0000, 4.2613, 0.0000], [-1.2798, 0.0000, 5.2014]], "species": ["Y", "Cu", "Ru", "Ru"], "frac_coords": [[0.0000, 0.0000, 0.0000], [0.5875, 0.5000, 0.2109], [0.2706, 0.5000, 0.6426], [0.6711, 0.0000, 0.4919]], "spacegroup": "No. 6", "formation_energy_ev_per_fu": 0.34, "de_polymorph_ev_per_fu": 0.032}


[2]
{"formula": "YCu2Ru", "functional": "PBE-GGA", "state": "relaxed", "lattice": [[3.6954, -2.1252, 0.0000], [3.6954, 2.1252, 0.0000], [-2.4376, 0.0000, 4.4805]], "species": ["Y", "Cu", "Cu", "Ru"], "frac_coords": [[0.0000, 0.0000, 0.0000], [0.2062, 0.2062, 0.6191], [0.7938, 0.7938, 0.3809], [0.5000, 0.5000, 0.5000]], "spacegroup": "No. 12", "formation_energy_ev_per_fu": -0.11, "de_polymorph_ev_per_fu": 0.052}


[3]
{"formula": "Y2CuRu", "functional": "PBE-GGA", "state": "relaxed", "lattice": [[3.4788, 0.0000, 0.0000], [0.0000, 4.4176, 0.0000], [0.0000, 0.0000, 5.7162]], "species": ["Y", "Y", "Cu", "Ru"], "frac_coords": [[0.0000, 0.0000, 0.0000], [0.5000, 0.5000, 0.4030], [0.0000, 0.0000, 0.5210], [0.5000, 0.5000, 0.9009]], "spacegroup": "No. 25", "formation_energy_ev_per_fu": -0.10}


[4]
{"formula": "YCu2Ru", "functional": "PBE-GGA", "state": "relaxed", "lattice": [[-2.0039, 2.0039, 4.0684], [2.0039, -2.0039, 4.0684], [2.0039, 2.0039, -4.0684]], "species": ["Y", "Cu", "Cu", "Ru"], "frac_coords": [[0.0000, 0.0000, 0.0000], [0.2500, 0.7500, 0.5000], [0.5000, 0.5000, 0.0000], [0.7500, 0.2500, 0.5000]], "spacegroup": "No. 119", "formation_energy_ev_per_fu": 0.14, "de_polymorph_ev_per_fu": 0.301}


[5]
{"formula": "YCuRu2", "functional": "PBE-GGA", "state": "relaxed", "lattice": [[1.5296, 0.8831, 8.3388], [-1.5296, 0.8831, 8.3388], [0.0000, -1.7663, 8.3388]], "species": ["Y", "Cu", "Ru", "Ru"], "frac_coords": [[0.0000, 0.0000, 0.0000], [0.5000, 0.5000, 0.5000], [0.2427, 0.2427, 0.2427], [0.7573, 0.7573, 0.7573]], "spacegroup": "No. 166", "formation_energy_ev_per_fu": 2.09, "de_polymorph_ev_per_fu": 1.788}


[6]
{"formula": "YCuRu", "functional": "PBE-GGA", "state": "relaxed", "lattice": [[4.2641, -2.6823, 0.0000], [4.2641, 2.6823, 0.0000], [-1.7229, 0.0000, 4.8362]], "species": ["Y", "Y", "Cu", "Cu", "Ru", "Ru"], "frac_coords": [[0.1411, 0.1411, 0.3808], [0.8589, 0.8589, 0.6192], [0.0000, 0.5000, 0.0000], [0.5000, 0.0000, 0.0000], [0.4895, 0.4895, 0.7322], [0.5105, 0.5105, 0.2678]], "spacegroup": "No. 12", "formation_energy_ev_per_fu": 0.14, "de_polymorph_ev_per_fu": 1.005}